Here is AsIr2Au after structural relaxation from Alexandria via LeMat-Bulk. Energies are from PBE.

Output
The calculation puts the final energy at -6.17 eV/atom. For the energy of formation from the pure elements, the calculation gives 0.237 eV per atom.

Unit cell a=4.0217 b=4.0217 c=6.1243 alpha=99.70 beta=99.70 gamma=43.16
Element x y z (fractional)
1 As 0.0000 0.0000 0.0000
2 Ir 0.2525 0.2525 0.7957
3 Ir 0.7475 0.7475 0.2043
4 Au 0.5000 0.5000 0.5000

***

Here is NpTeI after structural relaxation from Alexandria via LeMat-Bulk. Energies are from PBE.

Output
The calculation puts the final energy at -6.46 eV/atom. As for the formation energy without anion corrections: -0.5824 eV per atom.

Unit cell a=5.3445 b=5.3445 c=5.3445 alpha=60.00 beta=60.00 gamma=60.00
Element x y z (fractional)
1 Np 0.0000 0.0000 0.0000
2 Te 0.7500 0.7500 0.7500
3 I 0.2500 0.2500 0.2500

***

Here is CdSn2As after structural relaxation from Alexandria via LeMat-Bulk. Energies are from PBE.

Output
The calculation puts the final energy at -3.36 eV/atom. For the energy of formation from the pure elements, the calculation gives 0.035 eV per atom.

Unit cell a=5.7434 b=5.7434 c=3.0261 alpha=90.00 beta=90.00 gamma=90.00
Element x y z (fractional)
1 Cd 0.0000 0.0000 0.0000
2 Sn 0.0000 0.5000 0.5000
3 Sn 0.5000 0.0000 0.5000
4 As 0.5000 0.5000 0.5000

***

Here is SbW2Au after structural relaxation from Alexandria via LeMat-Bulk. Energies are from PBE.

Output
The calculation puts the final energy at -7.64 eV/atom. As for the formation energy without anion corrections: 0.6914 eV per atom.

Unit cell a=3.1959 b=3.1959 c=6.8770 alpha=90.00 beta=90.00 gamma=90.00
Element x y z (fractional)
1 Sb 0.0000 0.0000 0.0000
2 W 0.5000 0.5000 0.2442
3 W 0.5000 0.5000 0.7558
4 Au 0.0000 0.0000 0.5000

***

Here is Zr2TaAs after structural relaxation from Alexandria via LeMat-Bulk. Energies are from PBE.

Output
The calculation puts the final energy at -8.62 eV/atom. For the energy of formation from the pure elements, the calculation gives -0.217 eV per atom.

Unit cell a=4.9926 b=4.9926 c=5.0087 alpha=103.91 beta=103.91 gamma=40.90
Element x y z (fractional)
1 Zr 0.2332 0.2332 0.2296
2 Zr 0.7668 0.7668 0.7704
3 Ta 0.0000 0.0000 0.5000
4 As 0.5000 0.5000 0.0000

***

Here is ScMnIn2 after structural relaxation from Alexandria via LeMat-Bulk. Energies are from PBE.

Output
The calculation puts the final energy at -5.14 eV/atom. For the energy of formation from the pure elements, the calculation gives 0.108 eV per atom.

Unit cell a=9.7696 b=9.7696 c=9.7696 alpha=19.11 beta=19.11 gamma=19.11
Element x y z (fractional)
1 Sc 0.0000 0.0000 0.0000
2 Mn 0.2604 0.2604 0.2604
3 In 0.5153 0.5153 0.5153
4 In 0.7559 0.7559 0.7559

***

Here is AlIn2W after structural relaxation from Alexandria via LeMat-Bulk. Energies are from PBE.

Output
The calculation puts the final energy at -5.08 eV/atom. For the energy of formation from the pure elements, the calculation gives 0.464 eV per atom.

Unit cell a=2.9866 b=4.5633 c=5.6329 alpha=90.00 beta=90.00 gamma=90.00
Element x y z (fractional)
1 Al 0.0000 0.0000 0.0000
2 In 0.5000 0.5000 0.2532
3 In 0.5000 0.5000 0.7468
4 W 0.0000 0.0000 0.5000

***

Here is Ni2Pt4Rh5 after structural relaxation from Alexandria via LeMat-Bulk. Energies are from PBE.

Output
The calculation puts the final energy at -6.35 eV/atom. For the energy of formation from the pure elements, the calculation gives 0.241 eV per atom.

Unit cell a=13.8002 b=13.8002 c=4.4961 alpha=92.15 beta=92.15 gamma=11.14
Element x y z (fractional)
1 Ni 0.2174 0.2174 0.0893
2 Ni 0.7826 0.7826 0.9107
3 Pt 0.4022 0.4022 0.4703
4 Pt 0.4528 0.4528 0.9806
5 Pt 0.5472 0.5472 0.0194
6 Pt 0.5978 0.5978 0.5297
7 Rh 0.0000 0.0000 0.5000
8 Rh 0.2949 0.2949 0.4277
9 Rh 0.3566 0.3566 0.9616
10 Rh 0.6434 0.6434 0.0384
11 Rh 0.7051 0.7051 0.5723

***

Here is CdIn2GaH after structural relaxation from Alexandria via LeMat-Bulk. Energies are from PBE.

Output
The calculation puts the final energy at -2.39 eV/atom.

Unit cell a=5.6018 b=5.6018 c=3.4079 alpha=90.00 beta=90.00 gamma=90.00
Element x y z (fractional)
1 Cd 0.0000 0.0000 0.0000
2 In 0.0000 0.5000 0.5000
3 In 0.5000 0.0000 0.5000
4 Ga 0.5000 0.5000 0.5000
5 H 0.5000 0.5000 0.0000

***

Here is ZrSe2NO after structural relaxation from Alexandria via LeMat-Bulk. Energies are from PBE.

Output
The calculation puts the final energy at -5.27 eV/atom. As for the formation energy without anion corrections: 0.4944 eV per atom.

Unit cell a=4.2923 b=4.2923 c=4.0363 alpha=90.00 beta=90.00 gamma=90.00
Element x y z (fractional)
1 Zr 0.0000 0.0000 0.0000
2 Se 0.0000 0.5000 0.5000
3 Se 0.5000 0.0000 0.5000
4 N 0.5000 0.5000 0.0000
5 O 0.5000 0.5000 0.5000

***

Here is SrCo2TcSe after structural relaxation from Alexandria via LeMat-Bulk. Energies are from PBE.

Output
The calculation puts the final energy at -3.63 eV/atom. As for the formation energy without anion corrections: 2.3176 eV per atom.

Unit cell a=4.7160 b=4.7160 c=5.2931 alpha=90.00 beta=90.00 gamma=90.00
Element x y z (fractional)
1 Sr 0.0000 0.0000 0.0000
2 Co 0.0000 0.5000 0.0000
3 Co 0.5000 0.0000 0.0000
4 Tc 0.0000 0.0000 0.5000
5 Se 0.5000 0.5000 0.5000

***

Here is AuSe3 after structural relaxation from Alexandria via LeMat-Bulk. Energies are from PBE.

Output
The calculation puts the final energy at -3.40 eV/atom. As for the formation energy without anion corrections: 0.0281 eV per atom.

Unit cell a=7.7216 b=7.1125 c=8.8945 alpha=90.00 beta=90.00 gamma=90.00
Element x y z (fractional)
1 Au 0.0535 0.2500 0.2488
2 Au 0.4465 0.7500 0.7488
3 Au 0.5535 0.2500 0.2512
4 Au 0.9465 0.7500 0.7512
5 Se 0.1957 0.5208 0.6979
6 Se 0.1957 0.9792 0.6979
7 Se 0.1991 0.2500 0.8636
8 Se 0.3009 0.7500 0.3636
9 Se 0.3043 0.0208 0.1979
10 Se 0.3043 0.4792 0.1979
11 Se 0.6957 0.5208 0.8021
12 Se 0.6957 0.9792 0.8021
13 Se 0.6991 0.2500 0.6364
14 Se 0.8009 0.7500 0.1364
15 Se 0.8043 0.0208 0.3021
16 Se 0.8043 0.4792 0.3021

***

Here is Dy4ZnCuAg2 after structural relaxation from Alexandria via LeMat-Bulk. Energies are from PBE.

Output
The calculation puts the final energy at -3.98 eV/atom. For the energy of formation from the pure elements, the calculation gives -0.297 eV per atom.

Unit cell a=8.7869 b=8.7869 c=8.7869 alpha=33.51 beta=33.51 gamma=33.51
Element x y z (fractional)
1 Dy 0.1225 0.1225 0.1225
2 Dy 0.3728 0.3728 0.3728
3 Dy 0.6272 0.6272 0.6272
4 Dy 0.8775 0.8775 0.8775
5 Zn 0.5000 0.5000 0.5000
6 Cu 0.0000 0.0000 0.0000
7 Ag 0.2473 0.2473 0.2473
8 Ag 0.7527 0.7527 0.7527

***

Here is MgGa4Ag4 after structural relaxation from Alexandria via LeMat-Bulk. Energies are from PBE.

Output
The calculation puts the final energy at -2.80 eV/atom. For the energy of formation from the pure elements, the calculation gives -0.015 eV per atom.

Unit cell a=5.9850 b=5.9850 c=9.4601 alpha=90.00 beta=90.00 gamma=90.00
Element x y z (fractional)
1 Mg 0.2500 0.7500 0.2500
2 Mg 0.7500 0.2500 0.7500
3 Ga 0.0353 0.2500 0.1881
4 Ga 0.2500 0.0353 0.6881
5 Ga 0.2500 0.4647 0.6881
6 Ga 0.4647 0.2500 0.1881
7 Ga 0.5353 0.7500 0.8119
8 Ga 0.7500 0.5353 0.3119
9 Ga 0.7500 0.9647 0.3119
10 Ga 0.9647 0.7500 0.8119
11 Ag 0.0019 0.7500 0.5188
12 Ag 0.2500 0.5019 0.9812
13 Ag 0.2500 0.9981 0.9812
14 Ag 0.4981 0.7500 0.5188
15 Ag 0.5019 0.2500 0.4812
16 Ag 0.7500 0.0019 0.0188
17 Ag 0.7500 0.4981 0.0188
18 Ag 0.9981 0.2500 0.4812

***

Here is CrCoAg2 after structural relaxation from Alexandria via LeMat-Bulk. Energies are from PBE.

Output
The calculation puts the final energy at -5.08 eV/atom. For the energy of formation from the pure elements, the calculation gives 0.530 eV per atom.

Unit cell a=3.9259 b=3.9259 c=4.0317 alpha=90.00 beta=90.00 gamma=90.00
Element x y z (fractional)
1 Cr 0.0000 0.0000 0.0000
2 Co 0.5000 0.5000 0.0000
3 Ag 0.0000 0.5000 0.5000
4 Ag 0.5000 0.0000 0.5000

***

Here is Ba2CeThN4 after structural relaxation from Alexandria via LeMat-Bulk. Energies are from PBE.

Output
The calculation puts the final energy at -7.40 eV/atom. As for the formation energy without anion corrections: -1.0825 eV per atom.

Unit cell a=6.5071 b=3.7601 c=6.7823 alpha=90.00 beta=108.67 gamma=90.00
Element x y z (fractional)
1 Ba 0.0000 0.0000 0.0000
2 Ba 0.5000 0.5000 0.0000
3 Ce 0.0000 0.5000 0.5000
4 Th 0.5000 0.0000 0.5000
5 N 0.2282 0.0000 0.6910
6 N 0.2665 0.5000 0.3073
7 N 0.7335 0.5000 0.6927
8 N 0.7718 0.0000 0.3090

***

Here is BiPd2Br after structural relaxation from Alexandria via LeMat-Bulk. Energies are from PBE.

Output
The calculation puts the final energy at -3.96 eV/atom. As for the formation energy without anion corrections: 0.0273 eV per atom.

Unit cell a=6.4644 b=6.4644 c=6.4644 alpha=115.48 beta=115.48 gamma=98.02
Element x y z (fractional)
1 Bi 0.0000 0.0000 0.0000
2 Bi 0.7500 0.2500 0.5000
3 Pd 0.1261 0.1250 0.5011
4 Pd 0.3750 0.8739 0.9989
5 Pd 0.6239 0.6250 0.4989
6 Pd 0.8750 0.3761 0.0011
7 Br 0.2500 0.7500 0.5000
8 Br 0.5000 0.5000 0.0000

***

Here is Ba4Hg2S after structural relaxation from Alexandria via LeMat-Bulk. Energies are from PBE.

Output
The calculation puts the final energy at -2.52 eV/atom. As for the formation energy without anion corrections: -0.7496 eV per atom.

Unit cell a=9.4597 b=9.4597 c=9.4597 alpha=142.24 beta=142.24 gamma=54.47
Element x y z (fractional)
1 Ba 0.0000 0.5000 0.5000
2 Ba 0.1878 0.1878 0.0000
3 Ba 0.5000 0.0000 0.5000
4 Ba 0.8122 0.8122 0.0000
5 Hg 0.3900 0.3900 0.0000
6 Hg 0.6100 0.6100 0.0000
7 S 0.0000 0.0000 0.0000

***

Here is K8NaCd2 after structural relaxation from Alexandria via LeMat-Bulk. Energies are from PBE.

Output
The calculation puts the final energy at -1.05 eV/atom. For the energy of formation from the pure elements, the calculation gives 0.034 eV per atom.

Unit cell a=9.0994 b=9.0994 c=7.8137 alpha=98.93 beta=98.93 gamma=104.45
Element x y z (fractional)
1 K 0.0396 0.3382 0.6388
2 K 0.2205 0.2205 0.1823
3 K 0.2489 0.7511 0.0000
4 K 0.3382 0.0396 0.6388
5 K 0.6618 0.9604 0.3612
6 K 0.7511 0.2489 0.0000
7 K 0.7795 0.7795 0.8177
8 K 0.9604 0.6618 0.3612
9 Na 0.5000 0.5000 0.0000
10 Cd 0.3924 0.6076 0.5000
11 Cd 0.6076 0.3924 0.5000

***

Here is Li2HgPdF6 after structural relaxation from Alexandria via LeMat-Bulk. Energies are from PBE.

Output
The calculation puts the final energy at -3.94 eV/atom. As for the formation energy without anion corrections: -1.8822 eV per atom.

Unit cell a=7.3083 b=7.3083 c=6.2674 alpha=107.89 beta=107.89 gamma=84.27
Element x y z (fractional)
1 Li 0.1268 0.2528 0.1355
2 Li 0.2528 0.1268 0.6355
3 Li 0.7472 0.8732 0.3645
4 Li 0.8732 0.7472 0.8645
5 Hg 0.3970 0.6030 0.7500
6 Hg 0.6030 0.3970 0.2500
7 Pd 0.2296 0.7704 0.2500
8 Pd 0.7704 0.2296 0.7500
9 F 0.0793 0.2142 0.8075
10 F 0.1313 0.6655 0.8679
11 F 0.2142 0.0793 0.3075
12 F 0.2991 0.4704 0.3055
13 F 0.3345 0.8687 0.6321
14 F 0.4704 0.2991 0.8055
15 F 0.5296 0.7009 0.1945
16 F 0.6655 0.1313 0.3679
17 F 0.7009 0.5296 0.6945
18 F 0.7858 0.9207 0.6925
19 F 0.8687 0.3345 0.1321
20 F 0.9207 0.7858 0.1925